First-principles (PBE-GGA) data for a relaxed structure of Tb2Se, as listed in OQMD via LeMat-Bulk.

a = 6.1651 Å, b = 6.1651 Å, c = 6.1651 Å
α = 60.00°, β = 60.00°, γ = 60.00°
Closest atoms and distances in Å follow each position.
Sites, in units of the cell vectors:
Tb 0.0000 0.0000 0.0000  6 Tb 3.08
Tb 0.0000 0.0000 0.5000  6 Tb 3.08
Tb 0.0000 0.5000 0.0000  6 Tb 3.08
Tb 0.5000 0.0000 0.0000  6 Tb 3.08
Se 0.3750 0.3750 0.3750  12 Tb 3.61, 4 Se 3.78
Se 0.6250 0.6250 0.6250  12 Tb 3.61, 4 Se 3.78

Its symmetry is Fd-3m (227). For the mass density, the calculation gives 8.0 g/cm3. Its total magnetization is 0.015 μB/f.u. The volume is 27.62 Å³/atom. The total energy comes out at -25.682 eV for the cell shown.